The following is a DFT calculation (GGA-PBEsol) of an optimized crystal structure of CoTcNi2.

Computed properties:
Raw total energy ... -7.805 eV per atom
Polymorph energy (0 for the lowest one) ... 17.3 meV per atom
Volume ... 44.5 Å³/cell
D(E_F) ... 4.82 states/eV per cell
Energy of formation ... 0.02 eV/atom

```
CoTcNi2
1.0
2.529 0.000 0.000
0.000 3.541 0.000
0.000 0.000 4.972
Co Tc Ni
1 1 2
direct
0.000 0.000 0.000
0.500 0.500 0.758
0.000 0.000 0.495
0.500 0.500 0.255
```